1.
Below is a crystal of Cu2PO4 relaxed with PBEsol, with properties calculated at the SCAN level.

Computed properties:
formation energy without anion corrections = -1.575 eV/atom
total magnetization = 1.004 μB/f.u.
energy = -10.964 eV per atom

a = 5.977 Å, b = 6.210 Å, c = 9.154 Å
α = 74.16°, β = 83.82°, γ = 79.57°
Fractional coordinates of all 28 atoms:
Cu 0.022 0.115 0.230
Cu 0.195 0.328 0.468
Cu 0.437 0.193 0.835
Cu 0.450 0.611 0.865
Cu 0.550 0.389 0.135
Cu 0.563 0.807 0.165
Cu 0.805 0.672 0.532
Cu 0.978 0.885 0.770
P 0.122 0.699 0.118
P 0.292 0.805 0.497
P 0.708 0.195 0.503
P 0.878 0.301 0.882
O 0.125 0.255 0.828
O 0.134 0.646 0.474
O 0.152 0.708 0.944
O 0.195 0.051 0.407
O 0.244 0.461 0.203
O 0.247 0.888 0.143
O 0.288 0.799 0.667
O 0.469 0.260 0.573
O 0.531 0.740 0.427
O 0.712 0.201 0.333
O 0.753 0.112 0.857
O 0.756 0.539 0.797
O 0.805 0.949 0.593
O 0.848 0.292 0.056
O 0.866 0.354 0.526
O 0.875 0.745 0.172

---

2.
Below is a crystal of Li2NiAu relaxed with PBEsol, with properties calculated at the SCAN level.

Computed properties:
total magnetization = 0.005 μB/f.u.
energy = -22.820 eV per atom
formation energy from the elements = -0.29 eV/atom

a = 4.594 Å, b = 4.594 Å, c = 4.594 Å
α = 132.75°, β = 132.75°, γ = 69.05°
Fractional coordinates of all 4 atoms:
Li 0.250 0.750 0.500
Li 0.750 0.250 0.500
Ni 0.000 0.000 0.000
Au 0.500 0.500 0.000

---

We obtain V values of 320.9, 51.3 Å³ per cell for the records listed above, in that order.
We obtain ρ values of 4.6, 8.7 g/cm³ for the records listed above, in that order.